Here is Mg2CuPt at its PBEsol-relaxed geometry from Alexandria. Energies are from meta-GGA SCAN.

CIF file:
```
data_Mg2CuPt
_space_group_name_H-M_alt 'P m m m'
_space_group_IT_number 47
_cell_length_a 2.9706
_cell_length_b 3.4811
_cell_length_c 5.8711
_cell_angle_alpha 90.00
_cell_angle_beta 90.00
_cell_angle_gamma 90.00
loop_
_space_group_symop_operation_xyz
'x,y,z'
'-x,-y,-z'
'-x,-y,z'
'x,y,-z'
'x,-y,-z'
'-x,y,z'
'-x,y,-z'
'x,-y,z'
loop_
_atom_site_label
_atom_site_type_symbol
_atom_site_fract_x
_atom_site_fract_y
_atom_site_fract_z
Mg1 Mg 0.0000 0.0000 0.2489
Cu1 Cu 0.5000 0.5000 0.5000
Pt1 Pt 0.5000 0.5000 0.0000
```

- energy of formation (eV per atom) = -0.57
- magnetic moment (μB/cell) = 0.0
- total energy (hartree per atom) = -0.897